A plane-wave DFT calculation with PBE with a Hubbard U was carried out for an optimized crystal structure of SrMoI2F.

Values from the calculation:
- total energy (eV per atom) = -3.749
- size of the total moment (Bohr magnetons per cell) = 5.00
- N(E_F) (states/eV/cell) = 0.268

Lattice parameters (Å, degrees): 6.317 6.317 4.386 90.00 90.00 90.00
Space group P4/mmm (No. 123)
One atom of each set of equivalent atoms:
1 Sr 0.000 0.000 0.000
2 Mo 0.500 0.500 0.000
3 I 0.000 0.500 0.500
4 F 0.000 0.000 0.500